Model i:
Entry from the Open Quantum Materials Database: crystalline Zr2Mo at its relaxed geometry (PBE-GGA).

Values from the calculation:
Total moment ... 0.00 μB per cell

Geometry as POSCAR:
```
Zr2Mo
1.0
5.664 0.000 0.000
-2.832 4.905 0.000
0.000 0.000 17.528
Zr Mo
16 8
Cartesian
-1.416 2.453 0.000
-1.416 2.453 8.764
0.000 1.540 4.382
-1.498 4.135 4.382
1.334 0.770 13.146
0.000 3.270 2.247
0.000 3.270 6.518
2.832 0.000 0.000
2.832 0.000 8.764
1.416 2.453 0.000
1.416 2.453 8.764
2.832 1.635 11.011
2.832 1.635 15.282
1.498 4.135 4.382
4.330 0.770 13.146
2.832 3.365 13.146
0.000 0.000 1.576
0.000 0.000 7.188
0.000 0.000 10.341
0.000 0.000 15.952
0.000 3.270 11.490
0.000 3.270 14.803
2.832 1.635 2.725
2.832 1.635 6.039
```

***

Model ii:
Entry from the Open Quantum Materials Database: crystalline Zr2Mo at its relaxed geometry (PBE-GGA).

Values from the calculation:
Total moment ... 0.00 μB per cell

Geometry as POSCAR:
```
Zr2Mo
1.0
1.696 -7.165 0.000
1.696 7.165 0.000
0.000 0.000 5.020
Zr Mo
4 2
Cartesian
1.696 6.095 3.765
1.696 3.883 1.255
1.696 -3.883 3.765
1.696 -6.095 1.255
1.696 1.135 3.765
1.696 -1.135 1.255
```

***

Verdict on stability: model i comes out at the bottom.

***

Model i:
Entry from the Open Quantum Materials Database: crystalline InIr15 at its relaxed geometry (PBE-GGA).

Values from the calculation:
Total moment ... 0.02 μB per cell

Geometry as POSCAR:
```
InIr15
1.0
7.746 0.000 0.000
0.000 2.738 0.000
-0.002 0.000 35.721
In Ir
2 30
Cartesian
0.966 0.685 7.348
6.778 2.054 28.373
0.959 0.685 24.026
0.969 0.685 10.305
0.967 0.685 13.066
0.965 0.685 15.794
0.969 0.685 18.542
0.973 0.685 21.289
1.012 0.685 26.777
2.895 2.054 11.700
2.899 2.054 28.003
2.905 2.054 17.166
2.901 2.054 19.909
2.902 2.054 22.655
2.909 2.054 14.434
2.908 2.054 25.324
2.952 2.054 8.938
4.792 0.685 26.783
4.836 0.685 10.397
4.834 0.685 21.287
4.841 0.685 13.066
4.842 0.685 15.811
4.839 0.685 18.555
4.845 0.685 7.718
4.849 0.685 24.021
6.732 2.054 8.944
6.770 2.054 14.432
6.775 2.054 17.179
6.778 2.054 19.927
6.776 2.054 22.654
6.775 2.054 25.416
6.785 2.054 11.695
```

***

Model ii:
Entry from the Open Quantum Materials Database: crystalline InIr15 at its relaxed geometry (PBE-GGA).

Values from the calculation:
Total moment ... 0.00 μB per cell

Geometry as POSCAR:
```
InIr15
1.0
3.865 0.000 0.000
0.000 3.865 0.000
0.000 0.000 44.463
In Ir
2 30
Cartesian
0.966 0.000 7.172
2.899 0.000 37.291
0.966 0.000 11.544
0.966 0.000 15.440
0.966 0.000 19.316
0.966 0.000 23.204
0.966 0.000 27.084
0.966 0.000 30.970
0.966 0.000 34.814
0.966 1.932 9.649
0.966 1.932 13.493
0.966 1.932 17.378
0.966 1.932 21.261
0.966 1.932 25.144
0.966 1.932 29.024
0.966 1.932 32.912
0.966 1.932 36.704
2.899 0.000 9.648
2.899 0.000 13.493
2.899 0.000 17.379
2.899 0.000 21.258
2.899 0.000 25.147
2.899 0.000 29.022
2.899 0.000 32.919
2.899 1.932 7.759
2.899 1.932 11.550
2.899 1.932 15.438
2.899 1.932 19.319
2.899 1.932 23.201
2.899 1.932 27.085
2.899 1.932 30.970
2.899 1.932 34.814
```

***

Verdict on stability: model i comes out at the bottom.

***

Model i:
Entry from the Open Quantum Materials Database: crystalline MgHgSO at its relaxed geometry (PBE-GGA).

Geometry as POSCAR:
```
MgHgSO
1.0
1.739 -6.951 0.000
1.739 6.951 0.000
0.000 0.000 5.889
Mg Hg S O
2 2 2 2
Cartesian
1.739 4.720 2.945
1.739 -4.720 0.000
1.739 0.885 3.082
1.739 -0.885 0.137
1.739 4.280 5.427
1.739 -4.280 2.483
1.739 1.255 5.573
1.739 -1.255 2.628
```

***

Model ii:
Entry from the Open Quantum Materials Database: crystalline MgHgSO at its relaxed geometry (PBE-GGA).

Geometry as POSCAR:
```
MgHgSO
1.0
4.009 0.000 0.000
0.000 4.009 0.000
0.000 0.000 8.958
Mg Hg S O
2 2 2 2
Cartesian
1.002 1.002 1.795
3.006 3.006 7.162
1.002 3.006 4.479
3.006 1.002 4.479
1.002 1.002 7.330
3.006 3.006 1.628
1.002 1.002 8.897
3.006 3.006 0.060
```

***

Verdict on stability: model ii comes out at the bottom.

***

Model i:
Entry from the Open Quantum Materials Database: crystalline ScBeCuBi at its relaxed geometry (PBE-GGA).

Values from the calculation:
Total moment ... 0.00 μB per cell

Geometry as POSCAR:
```
ScBeCuBi
1.0
0.000 3.326 3.326
3.326 0.000 3.326
3.326 3.326 0.000
Sc Be Cu Bi
1 1 1 1
Cartesian
0.000 0.000 0.000
4.989 4.989 4.989
3.326 3.326 3.326
1.663 1.663 1.663
```

***

Model ii:
Entry from the Open Quantum Materials Database: crystalline ScBeCuBi at its relaxed geometry (PBE-GGA).

Values from the calculation:
Total moment ... 0.00 μB per cell

Geometry as POSCAR:
```
ScBeCuBi
1.0
0.000 3.338 3.338
3.338 0.000 3.338
3.338 3.338 0.000
Sc Be Cu Bi
1 1 1 1
Cartesian
0.000 0.000 0.000
3.338 3.338 3.338
1.669 1.669 1.669
5.007 5.007 5.007
```

***

Verdict on stability: model i comes out at the bottom.

***

Model i:
Entry from the Open Quantum Materials Database: crystalline GdHgTe at its relaxed geometry (PBE-GGA).

Values from the calculation:
Total moment ... 0.12 μB per cell

Geometry as POSCAR:
```
GdHgTe
1.0
0.000 3.642 3.642
3.642 0.000 3.642
3.642 3.642 0.000
Gd Hg Te
1 1 1
Cartesian
0.000 0.000 0.000
5.463 5.463 5.463
1.821 1.821 1.821
```

***

Model ii:
Entry from the Open Quantum Materials Database: crystalline GdHgTe at its relaxed geometry (PBE-GGA).

Values from the calculation:
Total moment ... 0.01 μB per cell

Geometry as POSCAR:
```
GdHgTe
1.0
0.000 3.666 3.666
3.666 0.000 3.666
3.666 3.666 0.000
Gd Hg Te
1 1 1
Cartesian
0.000 0.000 0.000
3.666 3.666 3.666
1.833 1.833 1.833
```

***

Verdict on stability: model ii comes out at the bottom.

***

Model i:
Entry from the Open Quantum Materials Database: crystalline Cu7Ag3 at its relaxed geometry (PBE-GGA).

Geometry as POSCAR:
```
Cu7Ag3
1.0
4.288 -1.873 0.000
4.288 1.873 0.000
-0.112 0.000 8.545
Cu Ag
7 3
Cartesian
0.000 0.000 0.000
0.804 0.000 5.712
1.779 0.000 3.386
2.656 0.000 0.864
4.269 0.000 4.161
6.791 0.000 4.913
7.736 0.000 2.561
3.384 0.000 6.650
5.184 0.000 1.711
5.923 0.000 7.612
```

***

Model ii:
Entry from the Open Quantum Materials Database: crystalline Cu7Ag3 at its relaxed geometry (PBE-GGA).

Geometry as POSCAR:
```
Cu7Ag3
1.0
4.283 -1.889 0.000
4.283 1.889 0.000
-0.115 0.000 8.534
Cu Ag
7 3
Cartesian
0.000 0.000 0.000
0.835 0.000 6.210
2.489 0.000 0.770
3.438 0.000 7.016
4.258 0.000 4.474
5.067 0.000 1.576
5.913 0.000 7.797
1.603 0.000 3.483
6.860 0.000 5.331
7.645 0.000 2.489
```

***

Verdict on stability: model i comes out at the bottom.

***

Model i:
Entry from the Open Quantum Materials Database: crystalline ZnGeNO at its relaxed geometry (PBE-GGA).

Geometry as POSCAR:
```
ZnGeNO
1.0
3.556 0.000 0.000
0.000 5.447 0.000
0.000 0.000 5.138
Zn Ge N O
2 2 2 2
Cartesian
0.000 1.038 0.000
0.000 4.408 2.569
1.778 1.735 2.603
1.778 3.711 0.034
1.778 1.889 4.534
1.778 3.558 1.965
0.000 1.001 2.107
0.000 4.446 4.676
```

***

Model ii:
Entry from the Open Quantum Materials Database: crystalline ZnGeNO at its relaxed geometry (PBE-GGA).

Geometry as POSCAR:
```
ZnGeNO
1.0
5.919 0.000 0.000
0.000 6.443 0.000
0.000 0.000 5.146
Zn Ge N O
4 4 4 4
Cartesian
0.406 0.865 0.000
2.553 0.865 2.573
3.366 5.578 0.000
5.513 5.578 2.573
0.576 4.127 0.044
2.384 4.127 2.617
3.535 2.317 0.044
5.344 2.317 2.617
0.431 3.840 3.257
2.529 3.840 0.684
3.391 2.603 3.257
5.488 2.603 0.684
0.620 0.790 3.121
2.340 0.790 0.548
3.579 5.653 3.121
5.300 5.653 0.548
```

***

Verdict on stability: model ii comes out at the bottom.

***

Model i:
Entry from the Open Quantum Materials Database: crystalline RbLuNO at its relaxed geometry (PBE-GGA).

Values from the calculation:
Total moment ... 2.00 μB per cell

Geometry as POSCAR:
```
RbLuNO
1.0
4.486 0.000 0.000
0.000 4.486 0.000
0.000 0.000 8.107
Rb Lu N O
2 2 2 2
Cartesian
1.121 3.364 0.000
3.364 1.121 0.000
1.121 1.121 3.581
3.364 3.364 4.526
1.121 1.121 1.512
3.364 3.364 6.595
1.121 3.364 4.054
3.364 1.121 4.054
```

***

Model ii:
Entry from the Open Quantum Materials Database: crystalline RbLuNO at its relaxed geometry (PBE-GGA).

Values from the calculation:
Total moment ... 2.00 μB per cell

Geometry as POSCAR:
```
RbLuNO
1.0
3.843 0.000 0.000
0.000 7.483 0.000
0.000 0.000 6.234
Rb Lu N O
2 2 2 2
Cartesian
0.000 1.262 0.000
0.000 6.221 3.117
1.922 2.678 3.275
1.922 4.806 0.157
0.000 1.634 2.893
0.000 5.849 6.010
1.922 3.049 5.303
1.922 4.434 2.186
```

***

Verdict on stability: model i comes out at the bottom.

***

Model i:
Entry from the Open Quantum Materials Database: crystalline NaPtNO at its relaxed geometry (PBE-GGA).

Values from the calculation:
Total moment ... 0.03 μB per cell

Geometry as POSCAR:
```
NaPtNO
1.0
3.943 0.000 0.000
0.000 3.943 0.000
0.000 0.000 8.110
Na Pt N O
2 2 2 2
Cartesian
0.986 0.986 1.104
2.957 2.957 7.006
0.986 2.957 4.055
2.957 0.986 4.055
0.986 0.986 4.815
2.957 2.957 3.295
0.986 2.957 0.000
2.957 0.986 0.000
```

***

Model ii:
Entry from the Open Quantum Materials Database: crystalline NaPtNO at its relaxed geometry (PBE-GGA).

Values from the calculation:
Total moment ... 0.59 μB per cell

Geometry as POSCAR:
```
NaPtNO
1.0
3.433 0.000 0.000
0.000 3.433 0.000
0.000 0.000 7.804
Na Pt N O
2 2 2 2
Cartesian
0.858 2.575 0.000
2.575 0.858 0.000
0.858 0.858 2.597
2.575 2.575 5.206
0.858 0.858 6.144
2.575 2.575 1.660
0.858 2.575 3.902
2.575 0.858 3.902
```

***

Verdict on stability: model ii comes out at the bottom.

***

Model i:
Entry from the Open Quantum Materials Database: crystalline BaSrLaAu at its relaxed geometry (PBE-GGA).

Values from the calculation:
Total moment ... 0.02 μB per cell

Geometry as POSCAR:
```
BaSrLaAu
1.0
0.000 4.120 4.120
4.120 0.000 4.120
4.120 4.120 0.000
Ba Sr La Au
1 1 1 1
Cartesian
0.000 0.000 0.000
6.180 6.180 6.180
4.120 4.120 4.120
2.060 2.060 2.060
```

***

Model ii:
Entry from the Open Quantum Materials Database: crystalline BaSrLaAu at its relaxed geometry (PBE-GGA).

Values from the calculation:
Total moment ... 0.00 μB per cell

Geometry as POSCAR:
```
BaSrLaAu
1.0
0.000 4.000 4.000
4.000 0.000 4.000
4.000 4.000 0.000
Ba Sr La Au
1 1 1 1
Cartesian
0.000 0.000 0.000
2.000 2.000 2.000
6.000 6.000 6.000
4.000 4.000 4.000
```

***

Verdict on stability: model i comes out at the bottom.

***

Model i:
Entry from the Open Quantum Materials Database: crystalline LiPdNO at its relaxed geometry (PBE-GGA).

Geometry as POSCAR:
```
LiPdNO
1.0
3.266 0.000 0.000
0.000 3.266 0.000
0.000 0.000 7.237
Li Pd N O
2 2 2 2
Cartesian
0.817 2.450 0.000
2.450 0.817 0.000
0.817 0.817 2.244
2.450 2.450 4.993
0.817 0.817 5.983
2.450 2.450 1.254
0.817 2.450 3.618
2.450 0.817 3.618
```

***

Model ii:
Entry from the Open Quantum Materials Database: crystalline LiPdNO at its relaxed geometry (PBE-GGA).

Geometry as POSCAR:
```
LiPdNO
1.0
4.179 0.000 0.000
0.000 4.179 0.000
0.000 0.000 4.284
Li Pd N O
2 2 2 2
Cartesian
1.045 1.045 0.003
3.134 3.134 4.282
1.045 3.134 2.142
3.134 1.045 2.142
1.045 1.045 2.146
3.134 3.134 2.138
1.045 3.134 0.000
3.134 1.045 0.000
```

***

Verdict on stability: model i comes out at the bottom.